# 1
## PtPbAu2 (GGA-PBE)

Data for a geometry-optimized PtPbAu2 structure.

```
PtPbAu2
1.0
3.6864 0.0000 0.0000
0.0000 3.6938 0.0000
0.0000 0.0000 5.8539
Pb Pt Au
1 1 2
direct
0.0000 0.0000 0.5172
0.5000 0.5000 0.7504
0.0000 0.0000 0.0059
0.5000 0.5000 0.2265
```

Calculated values
M_tot in μB/atom: 0.0000
Calculated formation energy in eV per atom: 0.023
Space-group type: P4mm (99)
E in eV/cell: -16.21

***

# 2
## YAg2Sn3Te6 (GGA-PBE)

Data for a geometry-optimized YAg2Sn3Te6 structure.

```
YAg2Sn3Te6
1.0
-0.8201 -4.2547 6.2559
6.3709 4.0224 -1.0691
-4.8422 5.7194 1.7092
Te Sn Ag Y
6 3 2 1
direct
0.5852 0.9198 0.7614
0.0802 0.4148 0.2386
0.9198 0.5852 0.7614
0.4148 0.0802 0.2386
0.2572 0.2572 0.7613
0.7428 0.7428 0.2387
0.8411 0.1589 0.5000
0.5000 0.5000 0.5000
0.1589 0.8411 0.5000
0.6717 0.3283 0.0000
0.3283 0.6717 0.0000
0.0000 0.0000 0.0000
```

Calculated values
M_tot in μB/atom: 0.0000
Space-group type: C2/m (12)
E in eV/cell: -48.03

***

# 3
## LuTiIrPd (GGA-PBE)

Data for a geometry-optimized LuTiIrPd structure.

```
LuTiIrPd
1.0
-3.3158 3.1049 0.8608
-3.9691 -0.1403 -2.3669
-3.9023 -1.3089 2.1058
Ir Pd Lu Ti
1 1 1 1
direct
0.5000 0.5000 0.5000
0.0000 0.0000 0.0000
0.7500 0.7500 0.7500
0.2500 0.2500 0.2500
```

Calculated values
M_tot in μB/atom: 0.0000
Calculated formation energy in eV per atom: -0.751
Space-group type: F-43m (216)
E in eV/cell: -29.47

***

# 4
## K2VCuS4 (GGA-PBE)

Data for a geometry-optimized K2VCuS4 structure.

```
K2VCuS4
1.0
-3.2185 -1.2960 4.1235
0.9994 -6.6702 2.2051
6.4920 3.0394 9.5440
S K V Cu
8 4 2 2
direct
0.1679 0.3060 0.3922
0.5261 0.3060 0.6078
0.5821 0.1940 0.1078
0.8661 0.6940 0.6078
0.4399 0.6940 0.3922
0.3101 0.8060 0.1078
0.2239 0.1940 0.8922
0.8839 0.8060 0.8922
0.8216 0.0000 0.3567
0.1784 0.0000 0.6433
0.9284 0.5000 0.1433
0.5716 0.5000 0.8567
0.5000 0.0000 0.0000
0.2500 0.5000 0.5000
0.0000 0.0000 0.0000
0.7500 0.5000 0.5000
```

Calculated values
M_tot in μB/atom: 0.0000
Energy above the lowest structure with this stoichiometry in meV per atom: 15.0
Space-group type: Fddd (70)
E in eV/cell: -80.02

***

Q: E of number 2 (YAg2Sn3Te6)?
A: -48.03 eV/cell